A plane-wave DFT calculation with PBEsol was carried out for a geometry-optimized YTa2Mn structure.

Structure (extended XYZ):
```
4
Lattice="5.118 -1.594 0.000 5.118 1.594 0.000 -2.056 0.000 4.503" Properties=species:S:1:pos:R:3 pbc="T T T"
Y 0.000 0.000 0.000
Ta 0.775 0.000 3.117
Ta 3.584 0.000 2.004
Mn 6.937 0.000 1.448
```

Computed properties:
N(E_F) (states/eV/cell): 4.073
Crystal system: monoclinic
Size of the total moment (μB/f.u.): 0.00
Offset from the most stable computed form (kJ/mol of atoms): 2.6
Formation enthalpy at 0 K (meV/atom): 371